This record from the Alexandria database describes NaLi2VO4 after structural relaxation. The functional is GGA+U.

Properties
Space-group type: I-42m (121)
VASP energy, eV/atom: -6.123

Unit cell a=5.000 b=5.000 c=5.232 alpha=118.54 beta=118.54 gamma=90.01
Positions (direct):
Li 0.750 0.250 0.500
O 0.168 0.168 0.740
O 0.832 0.427 0.260
Li 0.250 0.750 0.500
O 0.427 0.832 0.260
V 0.500 0.500 0.000
O 0.573 0.573 0.740
Na 0.000 0.000 0.000